{
  "formula": "Ti2MoAsBr",
  "functional": "PBE-GGA",
  "state": "optimized geometry",
  "cell": [[-0.866, 2.091, 4.259], [2.630, -3.237, 2.124], [3.894, 2.787, -0.576]],
  "species": ["Mo", "As", "Br", "Ti", "Ti"],
  "fractional_positions": [[0.000, 0.500, 0.000], [0.000, 0.000, 0.000], [0.500, 0.500, 0.500], [0.000, 0.000, 0.500], [0.500, 0.000, 0.000]],
  "raw_formation_energy_ev_per_atom": 0.685,
  "final_energy_ev_per_atom": -5.9038,
  "density_g_cm3": 5.3
}


{
  "formula": "Tl2MoAsBr",
  "functional": "PBE-GGA",
  "state": "optimized geometry",
  "cell": [[-5.372, -1.254, 1.130], [1.320, -1.902, 4.166], [-0.645, 5.009, 2.491]],
  "species": ["As", "Tl", "Tl", "Mo", "Br"],
  "fractional_positions": [[0.000, 0.500, 0.000], [0.000, 0.000, 0.500], [0.500, 0.000, 0.000], [0.000, 0.000, 0.000], [0.500, 0.500, 0.500]],
  "raw_formation_energy_ev_per_atom": 0.120,
  "final_energy_ev_per_atom": -4.2576,
  "density_g_cm3": 7.2
}